<i>
A plane-wave DFT calculation with GGA-PBE was carried out for Ga3AsIr after structural relaxation.

Results
The calculation puts the magnetization at 0.00 μB per atom. For the density of states at the Fermi level, the calculation gives 4.9 states/eV/cell.

Unit cell a=4.806 b=4.806 c=4.806 alpha=90.00 beta=90.00 gamma=90.00
Fractional coordinates of all 5 atoms:
Ga 0.000 0.000 0.500
Ga 0.000 0.500 0.000
Ga 0.500 0.000 0.000
As 0.500 0.500 0.500
Ir 0.000 0.000 0.000

***

<ii>
A plane-wave DFT calculation with GGA-PBE was carried out for Ga3AsIr after structural relaxation.

Results
The calculation puts the magnetization at 0.00 μB per atom. For the density of states at the Fermi level, the calculation gives 5.7 states/eV/cell.

Unit cell a=4.800 b=4.800 c=4.800 alpha=90.00 beta=90.00 gamma=90.00
Fractional coordinates of all 5 atoms:
Ga 0.000 0.000 0.500
Ga 0.000 0.500 0.000
Ga 0.500 0.000 0.000
As 0.000 0.000 0.000
Ir 0.500 0.500 0.500

***

Most stable to least stable, the ends of the list are <i> and <ii>.

***

<i>
A plane-wave DFT calculation with GGA-PBE was carried out for GaAsIrSe2 after structural relaxation.

Results
The calculation puts the magnetization at 0.00 μB per atom. For the density of states at the Fermi level, the calculation gives 3.8 states/eV/cell.

Unit cell a=4.799 b=4.799 c=4.733 alpha=90.00 beta=90.00 gamma=90.00
Fractional coordinates of all 5 atoms:
Ga 0.000 0.000 0.000
As 0.000 0.000 0.500
Ir 0.500 0.500 0.500
Se 0.000 0.500 0.000
Se 0.500 0.000 0.000

***

<ii>
A plane-wave DFT calculation with GGA-PBE was carried out for GaAsIrSe2 after structural relaxation.

Results
The calculation puts the magnetization at 0.00 μB per atom. For the density of states at the Fermi level, the calculation gives 6.4 states/eV/cell.

Unit cell a=5.197 b=5.197 c=4.585 alpha=90.00 beta=90.00 gamma=90.00
Fractional coordinates of all 5 atoms:
Ga 0.000 0.000 0.000
As 0.500 0.500 0.000
Ir 0.500 0.500 0.500
Se 0.000 0.500 0.500
Se 0.500 0.000 0.500

***

Most stable to least stable, the ends of the list are <ii> and <i>.

***

<i>
A plane-wave DFT calculation with GGA-PBE was carried out for KGa2As2 after structural relaxation.

Results
The calculation puts the magnetization at 0.00 μB per atom. For the density of states at the Fermi level, the calculation gives 3.2 states/eV/cell.

Unit cell a=8.441 b=8.441 c=3.706 alpha=90.00 beta=90.00 gamma=90.00
Fractional coordinates of all 10 atoms:
K 0.000 0.000 0.000
K 0.500 0.500 0.000
Ga 0.138 0.362 0.500
Ga 0.362 0.862 0.500
Ga 0.638 0.138 0.500
Ga 0.862 0.638 0.500
As 0.107 0.607 0.000
As 0.393 0.107 0.000
As 0.607 0.893 0.000
As 0.893 0.393 0.000

***

<ii>
A plane-wave DFT calculation with GGA-PBE was carried out for KGa2As2 after structural relaxation.

Results
The calculation puts the magnetization at 0.00 μB per atom. For the density of states at the Fermi level, the calculation gives 0.8 states/eV/cell.

Unit cell a=7.624 b=7.624 c=7.624 alpha=146.49 beta=146.49 gamma=48.12
Fractional coordinates of all 5 atoms:
K 0.000 0.000 0.000
Ga 0.250 0.750 0.500
Ga 0.750 0.250 0.500
As 0.353 0.353 0.000
As 0.647 0.647 0.000

***

Most stable to least stable, the ends of the list are <ii> and <i>.

***

<i>
A plane-wave DFT calculation with GGA-PBE was carried out for K2Ga2As3 after structural relaxation.

Results
The calculation puts the magnetization at 0.00 μB per atom. For the density of states at the Fermi level, the calculation gives 9.0 states/eV/cell.

Unit cell a=11.196 b=11.196 c=6.827 alpha=106.73 beta=106.73 gamma=81.78
Fractional coordinates of all 28 atoms:
K 0.071 0.929 0.750
K 0.209 0.791 0.250
K 0.313 0.483 0.900
K 0.483 0.313 0.400
K 0.517 0.687 0.600
K 0.687 0.517 0.100
K 0.791 0.209 0.750
K 0.929 0.071 0.250
Ga 0.012 0.579 0.342
Ga 0.160 0.310 0.203
Ga 0.310 0.160 0.703
Ga 0.421 0.988 0.158
Ga 0.579 0.012 0.842
Ga 0.690 0.840 0.297
Ga 0.840 0.690 0.797
Ga 0.988 0.421 0.658
As 0.062 0.637 0.744
As 0.102 0.240 0.800
As 0.240 0.102 0.300
As 0.243 0.518 0.381
As 0.363 0.938 0.756
As 0.482 0.757 0.119
As 0.518 0.243 0.881
As 0.637 0.062 0.244
As 0.757 0.482 0.619
As 0.760 0.898 0.700
As 0.898 0.760 0.200
As 0.938 0.363 0.256

***

<ii>
A plane-wave DFT calculation with GGA-PBE was carried out for K2Ga2As3 after structural relaxation.

Results
The calculation puts the magnetization at 0.00 μB per atom.

Unit cell a=13.997 b=6.840 c=15.896 alpha=90.00 beta=90.30 gamma=90.00
Fractional coordinates of all 56 atoms:
K 0.058 0.068 0.101
K 0.058 0.432 0.601
K 0.153 0.553 0.018
K 0.153 0.947 0.518
K 0.356 0.031 0.004
K 0.356 0.469 0.504
K 0.421 0.534 0.108
K 0.421 0.966 0.608
K 0.579 0.034 0.392
K 0.579 0.466 0.892
K 0.644 0.531 0.496
K 0.644 0.969 0.996
K 0.847 0.053 0.482
K 0.847 0.447 0.982
K 0.942 0.568 0.399
K 0.942 0.932 0.899
Ga 0.092 0.747 0.259
Ga 0.092 0.753 0.759
Ga 0.186 0.225 0.325
Ga 0.186 0.275 0.825
Ga 0.316 0.740 0.319
Ga 0.316 0.760 0.819
Ga 0.409 0.211 0.269
Ga 0.409 0.289 0.769
Ga 0.591 0.711 0.231
Ga 0.591 0.789 0.731
Ga 0.684 0.240 0.181
Ga 0.684 0.260 0.681
Ga 0.814 0.725 0.175
Ga 0.814 0.775 0.675
Ga 0.908 0.247 0.241
Ga 0.908 0.253 0.741
As 0.026 0.050 0.333
As 0.026 0.450 0.833
As 0.171 0.564 0.380
As 0.171 0.936 0.880
As 0.246 0.663 0.676
As 0.246 0.837 0.176
As 0.256 0.203 0.180
As 0.256 0.297 0.680
As 0.335 0.054 0.397
As 0.335 0.446 0.897
As 0.468 0.540 0.322
As 0.468 0.960 0.822
As 0.532 0.040 0.178
As 0.532 0.460 0.678
As 0.665 0.554 0.103
As 0.665 0.946 0.603
As 0.744 0.703 0.320
As 0.744 0.797 0.820
As 0.754 0.163 0.824
As 0.754 0.337 0.324
As 0.829 0.064 0.120
As 0.829 0.436 0.620
As 0.974 0.550 0.167
As 0.974 0.950 0.667

***

Most stable to least stable, the ends of the list are <ii> and <i>.

***

<i>
A plane-wave DFT calculation with GGA-PBE was carried out for KGaAs3 after structural relaxation.

Results
The calculation puts the magnetization at 0.00 μB per atom. For the density of states at the Fermi level, the calculation gives 3.4 states/eV/cell.

Unit cell a=5.095 b=5.095 c=5.095 alpha=90.00 beta=90.00 gamma=90.00
Fractional coordinates of all 5 atoms:
K 0.000 0.000 0.000
Ga 0.500 0.500 0.500
As 0.000 0.500 0.500
As 0.500 0.000 0.500
As 0.500 0.500 0.000

***

<ii>
A plane-wave DFT calculation with GGA-PBE was carried out for KGaAs3 after structural relaxation.

Results
The calculation puts the magnetization at 0.00 μB per atom. For the density of states at the Fermi level, the calculation gives 5.1 states/eV/cell.

Unit cell a=5.524 b=5.524 c=5.524 alpha=90.00 beta=90.00 gamma=90.00
Fractional coordinates of all 5 atoms:
K 0.000 0.000 0.000
Ga 0.500 0.500 0.500
As 0.000 0.000 0.500
As 0.000 0.500 0.000
As 0.500 0.000 0.000

***

Most stable to least stable, the ends of the list are <i> and <ii>.

***

<i>
A plane-wave DFT calculation with GGA-PBE was carried out for K3GaAs after structural relaxation.

Results
The calculation puts the magnetization at 0.20 μB per atom. For the density of states at the Fermi level, the calculation gives 6.0 states/eV/cell.

Unit cell a=6.392 b=6.392 c=6.392 alpha=90.00 beta=90.00 gamma=90.00
Fractional coordinates of all 5 atoms:
K 0.000 0.000 0.500
K 0.000 0.500 0.000
K 0.500 0.000 0.000
Ga 0.500 0.500 0.500
As 0.000 0.000 0.000

***

<ii>
A plane-wave DFT calculation with GGA-PBE was carried out for K3GaAs after structural relaxation.

Results
The calculation puts the magnetization at 0.17 μB per atom. For the density of states at the Fermi level, the calculation gives 4.1 states/eV/cell.

Unit cell a=8.339 b=8.339 c=8.339 alpha=100.09 beta=115.25 gamma=113.47
Fractional coordinates of all 10 atoms:
K 0.216 0.043 0.259
K 0.216 0.457 0.673
K 0.218 0.555 0.163
K 0.392 0.055 0.837
K 0.784 0.543 0.327
K 0.784 0.957 0.741
Ga 0.681 0.449 0.733
Ga 0.716 0.949 0.267
As 0.010 0.694 0.817
As 0.877 0.194 0.183

***

Most stable to least stable, the ends of the list are <ii> and <i>.

***

<i>
A plane-wave DFT calculation with GGA-PBE was carried out for K2GaAs after structural relaxation.

Results
The calculation puts the magnetization at 0.00 μB per atom. For the density of states at the Fermi level, the calculation gives 0.0 states/eV/cell.

Unit cell a=5.574 b=5.574 c=5.574 alpha=60.00 beta=60.00 gamma=60.00
Fractional coordinates of all 4 atoms:
K 0.250 0.250 0.250
K 0.750 0.750 0.750
Ga 0.000 0.000 0.000
As 0.500 0.500 0.500

***

<ii>
A plane-wave DFT calculation with GGA-PBE was carried out for K2GaAs after structural relaxation.

Results
The calculation puts the magnetization at 0.00 μB per atom. For the density of states at the Fermi level, the calculation gives 8.2 states/eV/cell.

Unit cell a=11.740 b=11.740 c=11.740 alpha=156.31 beta=156.31 gamma=33.76
Fractional coordinates of all 8 atoms:
K 0.118 0.625 0.993
K 0.375 0.368 0.493
K 0.632 0.125 0.007
K 0.875 0.882 0.507
Ga 0.250 0.750 0.500
Ga 0.500 0.500 0.000
As 0.000 0.000 0.000
As 0.750 0.250 0.500

***

Most stable to least stable, the ends of the list are <i> and <ii>.

***

<i>
A plane-wave DFT calculation with GGA-PBE was carried out for KGaAsSe2 after structural relaxation.

Results
The calculation puts the magnetization at 0.58 μB per atom. For the density of states at the Fermi level, the calculation gives 7.1 states/eV/cell.

Unit cell a=5.834 b=5.834 c=5.894 alpha=90.00 beta=90.00 gamma=90.00
Fractional coordinates of all 5 atoms:
K 0.000 0.000 0.000
Ga 0.500 0.500 0.500
As 0.000 0.000 0.500
Se 0.000 0.500 0.000
Se 0.500 0.000 0.000

***

<ii>
A plane-wave DFT calculation with GGA-PBE was carried out for KGaAsSe2 after structural relaxation.

Results
The calculation puts the magnetization at 0.10 μB per atom. For the density of states at the Fermi level, the calculation gives 4.6 states/eV/cell.

Unit cell a=5.271 b=5.271 c=4.914 alpha=90.00 beta=90.00 gamma=90.00
Fractional coordinates of all 5 atoms:
K 0.000 0.000 0.000
Ga 0.500 0.500 0.500
As 0.500 0.500 0.000
Se 0.000 0.500 0.500
Se 0.500 0.000 0.500

***

Most stable to least stable, the ends of the list are <ii> and <i>.

***

<i>
A plane-wave DFT calculation with GGA-PBE was carried out for LaGa3As after structural relaxation.

Results
The calculation puts the magnetization at 0.00 μB per atom. For the density of states at the Fermi level, the calculation gives 3.2 states/eV/cell.

Unit cell a=5.669 b=5.669 c=5.669 alpha=90.00 beta=90.00 gamma=90.00
Fractional coordinates of all 5 atoms:
La 0.000 0.000 0.000
Ga 0.000 0.000 0.500
Ga 0.000 0.500 0.000
Ga 0.500 0.000 0.000
As 0.500 0.500 0.500

***

<ii>
A plane-wave DFT calculation with GGA-PBE was carried out for LaGa3As after structural relaxation.

Results
The calculation puts the magnetization at 0.00 μB per atom. For the density of states at the Fermi level, the calculation gives 3.5 states/eV/cell.

Unit cell a=5.055 b=5.055 c=5.055 alpha=90.00 beta=90.00 gamma=90.00
Fractional coordinates of all 5 atoms:
La 0.000 0.000 0.000
Ga 0.000 0.500 0.500
Ga 0.500 0.000 0.500
Ga 0.500 0.500 0.000
As 0.500 0.500 0.500

***

Most stable to least stable, the ends of the list are <ii> and <i>.

***

<i>
A plane-wave DFT calculation with GGA-PBE was carried out for La2GaAs after structural relaxation.

Results
The calculation puts the magnetization at 0.00 μB per atom. For the density of states at the Fermi level, the calculation gives 5.4 states/eV/cell.

Unit cell a=5.317 b=5.317 c=5.317 alpha=60.00 beta=60.00 gamma=60.00
Fractional coordinates of all 4 atoms:
La 0.250 0.250 0.250
La 0.750 0.750 0.750
Ga 0.000 0.000 0.000
As 0.500 0.500 0.500

***

<ii>
A plane-wave DFT calculation with GGA-PBE was carried out for La2GaAs after structural relaxation.

Results
The calculation puts the magnetization at 0.00 μB per atom. For the density of states at the Fermi level, the calculation gives 7.2 states/eV/cell.

Unit cell a=12.586 b=12.586 c=4.310 alpha=90.00 beta=90.00 gamma=159.66
Fractional coordinates of all 8 atoms:
La 0.067 0.933 0.750
La 0.311 0.689 0.750
La 0.689 0.311 0.250
La 0.933 0.067 0.250
Ga 0.468 0.532 0.750
Ga 0.532 0.468 0.250
As 0.189 0.811 0.750
As 0.811 0.189 0.250

***

Most stable to least stable, the ends of the list are <ii> and <i>.

***

<i>
A plane-wave DFT calculation with GGA-PBE was carried out for LaGaAs2Se after structural relaxation.

Results
The calculation puts the magnetization at 0.00 μB per atom. For the density of states at the Fermi level, the calculation gives 5.1 states/eV/cell.

Unit cell a=4.883 b=4.883 c=5.187 alpha=90.00 beta=90.00 gamma=90.00
Fractional coordinates of all 5 atoms:
La 0.000 0.000 0.000
Ga 0.500 0.500 0.500
As 0.000 0.500 0.500
As 0.500 0.000 0.500
Se 0.500 0.500 0.000

***

<ii>
A plane-wave DFT calculation with GGA-PBE was carried out for LaGaAs2Se after structural relaxation.

Results
The calculation puts the magnetization at 0.00 μB per atom. For the density of states at the Fermi level, the calculation gives 7.3 states/eV/cell.

Unit cell a=5.735 b=5.735 c=5.742 alpha=90.00 beta=90.00 gamma=90.00
Fractional coordinates of all 5 atoms:
La 0.000 0.000 0.000
Ga 0.500 0.500 0.500
As 0.000 0.500 0.000
As 0.500 0.000 0.000
Se 0.000 0.000 0.500

***

Most stable to least stable, the ends of the list are <i> and <ii>.

***

<i>
A plane-wave DFT calculation with GGA-PBE was carried out for LiGaAs3 after structural relaxation.

Results
The calculation puts the magnetization at 0.00 μB per atom. For the density of states at the Fermi level, the calculation gives 4.1 states/eV/cell.

Unit cell a=4.655 b=4.655 c=4.655 alpha=90.00 beta=90.00 gamma=90.00
Fractional coordinates of all 5 atoms:
Li 0.000 0.000 0.000
Ga 0.500 0.500 0.500
As 0.000 0.000 0.500
As 0.000 0.500 0.000
As 0.500 0.000 0.000

***

<ii>
A plane-wave DFT calculation with GGA-PBE was carried out for LiGaAs3 after structural relaxation.

Results
The calculation puts the magnetization at 0.00 μB per atom. For the density of states at the Fermi level, the calculation gives 3.6 states/eV/cell.

Unit cell a=4.981 b=4.981 c=4.981 alpha=90.00 beta=90.00 gamma=90.00
Fractional coordinates of all 5 atoms:
Li 0.000 0.000 0.000
Ga 0.500 0.500 0.500
As 0.000 0.500 0.500
As 0.500 0.000 0.500
As 0.500 0.500 0.000

***

Most stable to least stable, the ends of the list are <i> and <ii>.